# 1
A geometry-optimized NiCl3 structure, computed with PBE.

Output
Formation energy (no corrections): -107 meV per atom
Space group: P-4m2
DOS(E_F): 2.7 states/eV per cell
Final energy: -2.938 eV/atom
V: 27.06 A^3/atom
Magnetic moment: 3.02 μB/f.u.

a b c (Å): 3.472 3.475 8.972
angles (deg): 90.00 90.00 90.00
Atoms (fractional coordinates):
Cl 0.500 0.000 0.542
Cl 0.000 0.000 0.194
Cl 0.500 0.500 0.889
Ni 0.000 0.500 0.042

# 2
A geometry-optimized Ni3Cl structure, computed with PBE.

Output
Formation energy (no corrections): 190 meV per atom
Space group: Pmmm
DOS(E_F): 5.2 states/eV per cell
Final energy: -4.608 eV/atom
V: 13.82 A^3/atom
Magnetic moment: 2.05 μB/f.u.

a b c (Å): 2.897 3.050 6.256
angles (deg): 90.01 90.00 90.00
Atoms (fractional coordinates):
Ni 0.500 0.000 0.698
Ni 0.000 0.500 0.500
Ni 0.500 0.000 0.302
Cl 0.000 0.000 0.000

# 3
A geometry-optimized NiCl3 structure, computed with PBE.

Output
Formation energy (no corrections): -346 meV per atom
Space group: R-3c
DOS(E_F): 4.3 states/eV per cell
Final energy: -3.177 eV/atom
V: 19.95 A^3/atom
Magnetic moment: 0.88 μB/f.u.

a b c (Å): 5.933 5.933 6.255
angles (deg): 61.69 61.69 60.00
Atoms (fractional coordinates):
Ni 0.000 0.000 0.000
Ni 0.500 0.500 0.500
Cl 0.110 0.750 0.750
Cl 0.390 0.110 0.750
Cl 0.250 0.610 0.250
Cl 0.750 0.390 0.750
Cl 0.890 0.250 0.250
Cl 0.610 0.890 0.250

# 4
A geometry-optimized Ni2Cl3 structure, computed with PBE.

Output
Formation energy (no corrections): -341 meV per atom
Space group: Fdd2
DOS(E_F): 2.1 states/eV per cell
Final energy: -3.761 eV/atom
V: 19.29 A^3/atom
Magnetic moment: 3.00 μB/f.u.

a b c (Å): 7.959 6.476 6.322
angles (deg): 76.90 52.42 50.69
Atoms (fractional coordinates):
Cl 0.129 0.371 0.371
Cl 0.879 0.121 0.121
Cl 0.628 0.731 0.322
Cl 0.928 0.930 0.622
Cl 0.519 0.622 0.930
Cl 0.320 0.322 0.731
Ni 0.777 0.340 0.487
Ni 0.910 0.473 0.854
Ni 0.396 0.487 0.340
Ni 0.763 0.854 0.473

# 5
A geometry-optimized NiCl3 structure, computed with PBE.

Output
Formation energy (no corrections): -64 meV per atom
Space group: R-3m
DOS(E_F): 8.1 states/eV per cell
Final energy: -2.895 eV/atom
V: 22.56 A^3/atom
Magnetic moment: 0.00 μB/f.u.

a b c (Å): 9.585 9.585 9.585
angles (deg): 20.02 20.02 20.02
Atoms (fractional coordinates):
Ni 0.500 0.500 0.500
Cl 0.881 0.881 0.881
Cl 0.000 0.000 0.000
Cl 0.119 0.119 0.119

# 6
A geometry-optimized NiCl4 structure, computed with PBE.

Output
Formation energy (no corrections): -253 meV per atom
Space group: P2/m
DOS(E_F): 6.7 states/eV per cell
Final energy: -2.887 eV/atom
V: 24.89 A^3/atom
Magnetic moment: 0.45 μB/f.u.

a b c (Å): 6.617 7.495 6.933
angles (deg): 58.42 61.50 63.81
Atoms (fractional coordinates):
Cl 0.786 0.284 0.645
Cl 0.855 0.155 0.134
Cl 0.355 0.155 0.134
Cl 0.214 0.716 0.355
Cl 0.645 0.845 0.866
Cl 0.714 0.716 0.355
Cl 0.286 0.284 0.645
Cl 0.145 0.845 0.866
Ni 0.250 0.000 0.000
Ni 0.750 0.000 0.000

# 7
A geometry-optimized NiCl3 structure, computed with PBE.

Output
Formation energy (no corrections): 652 meV per atom
Space group: P4/mmm
DOS(E_F): 5.6 states/eV per cell
Final energy: -2.178 eV/atom
V: 18.72 A^3/atom
Magnetic moment: 1.96 μB/f.u.

a b c (Å): 4.766 4.766 3.296
angles (deg): 90.00 90.00 90.00
Atoms (fractional coordinates):
Cl 0.500 0.500 0.000
Cl 0.500 0.000 0.500
Cl 0.000 0.500 0.500
Ni 0.000 0.000 0.000

# 8
A geometry-optimized Ni2Cl structure, computed with PBE.

Output
Formation energy (no corrections): 463 meV per atom
Space group: I4/mcm
DOS(E_F): 8.3 states/eV per cell
Final energy: -4.007 eV/atom
V: 14.18 A^3/atom
Magnetic moment: 1.20 μB/f.u.

a b c (Å): 5.052 5.052 5.052
angles (deg): 123.96 123.96 83.26
Atoms (fractional coordinates):
Ni 0.312 0.188 0.500
Ni 0.812 0.312 0.125
Ni 0.188 0.688 0.875
Ni 0.688 0.812 0.500
Cl 0.750 0.750 0.000
Cl 0.250 0.250 0.000

# 9
A geometry-optimized Ni3Cl4 structure, computed with PBE.

Output
Formation energy (no corrections): -304 meV per atom
Space group: C2/m
DOS(E_F): 9.2 states/eV per cell
Final energy: -3.837 eV/atom
V: 19.24 A^3/atom
Magnetic moment: 4.01 μB/f.u.

a b c (Å): 11.878 11.878 6.644
angles (deg): 86.80 86.80 16.73
Atoms (fractional coordinates):
Ni 0.243 0.243 0.276
Ni 0.757 0.757 0.724
Ni 0.000 0.000 0.000
Ni 0.658 0.658 0.862
Ni 0.500 0.500 0.500
Ni 0.342 0.342 0.138
Cl 0.190 0.190 0.636
Cl 0.562 0.562 0.850
Cl 0.953 0.953 0.684
Cl 0.810 0.810 0.364
Cl 0.314 0.314 0.827
Cl 0.438 0.438 0.150
Cl 0.686 0.686 0.173
Cl 0.047 0.047 0.316

# 10
A geometry-optimized Ni3Cl structure, computed with PBE.

Output
Formation energy (no corrections): 531 meV per atom
Space group: Cmmm
DOS(E_F): 6.4 states/eV per cell
Final energy: -4.267 eV/atom
V: 12.40 A^3/atom
Magnetic moment: 1.60 μB/f.u.

a b c (Å): 4.329 4.329 2.778
angles (deg): 90.00 90.00 107.67
Atoms (fractional coordinates):
Ni 0.500 0.000 0.500
Ni 0.000 0.500 0.500
Ni 0.500 0.500 0.000
Cl 0.000 0.000 0.000

# 11
A geometry-optimized NiCl4 structure, computed with PBE.

Output
Formation energy (no corrections): 64 meV per atom
Space group: Pm-3m
DOS(E_F): 5.8 states/eV per cell
Final energy: -2.569 eV/atom
V: 20.08 A^3/atom
Magnetic moment: 1.96 μB/f.u.

a b c (Å): 4.648 4.648 4.648
angles (deg): 90.00 90.00 90.00
Atoms (fractional coordinates):
Cl 0.500 0.000 0.500
Cl 0.500 0.500 0.000
Cl 0.000 0.000 0.000
Cl 0.000 0.500 0.500
Ni 0.500 0.500 0.500

# 12
A geometry-optimized NiCl3 structure, computed with PBE.

Output
Formation energy (no corrections): -233 meV per atom
Space group: P6_3/mmc
DOS(E_F): 10.8 states/eV per cell
Final energy: -3.063 eV/atom
V: 29.64 A^3/atom
Magnetic moment: 2.52 μB/f.u.

a b c (Å): 9.394 9.394 3.103
angles (deg): 90.00 90.00 120.00
Atoms (fractional coordinates):
Ni 0.667 0.333 0.750
Ni 0.333 0.667 0.250
Cl 0.447 0.224 0.250
Cl 0.553 0.776 0.750
Cl 0.776 0.224 0.250
Cl 0.776 0.553 0.250
Cl 0.224 0.776 0.750
Cl 0.224 0.447 0.750

# 13
A geometry-optimized Ni2Cl structure, computed with PBE.

Output
Formation energy (no corrections): 693 meV per atom
Space group: Fm-3m
DOS(E_F): 4.7 states/eV per cell
Final energy: -3.777 eV/atom
V: 13.82 A^3/atom
Magnetic moment: 1.29 μB/f.u.

a b c (Å): 3.885 3.885 3.885
angles (deg): 60.00 60.00 60.00
Atoms (fractional coordinates):
Ni 0.750 0.750 0.750
Ni 0.250 0.250 0.250
Cl 0.000 0.000 0.000

# 14
A geometry-optimized Ni3Cl2 structure, computed with PBE.

Output
Formation energy (no corrections): 218 meV per atom
Space group: R-3m
DOS(E_F): 6.5 states/eV per cell
Final energy: -3.989 eV/atom
V: 14.78 A^3/atom
Magnetic moment: 2.53 μB/f.u.

a b c (Å): 8.464 8.464 8.464
angles (deg): 21.89 21.89 21.89
Atoms (fractional coordinates):
Cl 0.604 0.604 0.604
Cl 0.396 0.396 0.396
Ni 0.196 0.196 0.196
Ni 0.000 0.000 0.000
Ni 0.804 0.804 0.804

# 15
A geometry-optimized NiCl3 structure, computed with PBE.

Output
Formation energy (no corrections): 731 meV per atom
Space group: Pm-3m
DOS(E_F): 6.4 states/eV per cell
Final energy: -2.099 eV/atom
V: 19.77 A^3/atom
Magnetic moment: 3.02 μB/f.u.

a b c (Å): 4.292 4.292 4.292
angles (deg): 90.00 90.00 90.00
Atoms (fractional coordinates):
Cl 0.500 0.000 0.500
Cl 0.500 0.500 0.000
Cl 0.000 0.500 0.500
Ni 0.000 0.000 0.000

# 16
A geometry-optimized Ni2Cl structure, computed with PBE.

Output
Formation energy (no corrections): 597 meV per atom
Space group: P6_3/mmc
DOS(E_F): 7.1 states/eV per cell
Final energy: -3.873 eV/atom
V: 13.31 A^3/atom
Magnetic moment: 1.10 μB/f.u.

a b c (Å): 3.917 3.917 6.009
angles (deg): 90.00 90.00 120.00
Atoms (fractional coordinates):
Ni 0.667 0.333 0.750
Ni 0.000 0.000 0.500
Ni 0.333 0.667 0.250
Ni 0.000 0.000 0.000
Cl 0.667 0.333 0.250
Cl 0.333 0.667 0.750

# 17
A geometry-optimized Ni3Cl structure, computed with PBE.

Output
Formation energy (no corrections): 619 meV per atom
Space group: Fm-3m
DOS(E_F): 5.0 states/eV per cell
Final energy: -4.178 eV/atom
V: 12.57 A^3/atom
Magnetic moment: 1.99 μB/f.u.

a b c (Å): 4.143 4.143 4.143
angles (deg): 60.00 60.00 60.00
Atoms (fractional coordinates):
Ni 0.750 0.750 0.750
Ni 0.500 0.500 0.500
Ni 0.250 0.250 0.250
Cl 0.000 0.000 0.000

# 18
A geometry-optimized Ni3Cl structure, computed with PBE.

Output
Formation energy (no corrections): 365 meV per atom
Space group: P-6m2
DOS(E_F): 6.9 states/eV per cell
Final energy: -4.433 eV/atom
V: 13.12 A^3/atom
Magnetic moment: 2.22 μB/f.u.

a b c (Å): 2.900 2.900 7.206
angles (deg): 90.00 90.00 120.00
Atoms (fractional coordinates):
Ni 0.667 0.333 0.743
Ni 0.000 0.000 0.500
Ni 0.667 0.333 0.257
Cl 0.000 0.000 0.000

# 19
A geometry-optimized Ni2Cl structure, computed with PBE.

Output
Formation energy (no corrections): 282 meV per atom
Space group: P-3m1
DOS(E_F): 2.5 states/eV per cell
Final energy: -4.188 eV/atom
V: 13.57 A^3/atom
Magnetic moment: 0.80 μB/f.u.

a b c (Å): 3.117 3.117 4.836
angles (deg): 90.00 90.00 120.00
Atoms (fractional coordinates):
Ni 0.333 0.667 0.342
Ni 0.667 0.333 0.658
Cl 0.000 0.000 0.000

# 20
A geometry-optimized Ni3Cl structure, computed with PBE.

Output
Formation energy (no corrections): 618 meV per atom
Space group: Pm-3m
DOS(E_F): 6.5 states/eV per cell
Final energy: -4.180 eV/atom
V: 12.39 A^3/atom
Magnetic moment: 2.00 μB/f.u.

a b c (Å): 3.673 3.673 3.673
angles (deg): 90.00 90.00 90.00
Atoms (fractional coordinates):
Cl 0.000 0.000 0.000
Ni 0.000 0.500 0.500
Ni 0.500 0.000 0.500
Ni 0.500 0.500 0.000

# 21
A geometry-optimized NiCl3 structure, computed with PBE.

Output
Formation energy (no corrections): 168 meV per atom
Space group: P4/mmm
DOS(E_F): 3.9 states/eV per cell
Final energy: -2.662 eV/atom
V: 22.46 A^3/atom
Magnetic moment: 2.11 μB/f.u.

a b c (Å): 2.997 2.997 10.002
angles (deg): 90.00 90.00 90.00
Atoms (fractional coordinates):
Cl 0.000 0.000 0.898
Cl 0.000 0.000 0.602
Cl 0.500 0.500 0.250
Ni 0.500 0.500 0.750

# 22
A geometry-optimized Ni3Cl structure, computed with PBE.

Output
Formation energy (no corrections): 474 meV per atom
Space group: Cmcm
DOS(E_F): 13.4 states/eV per cell
Final energy: -4.324 eV/atom
V: 13.56 A^3/atom
Magnetic moment: 2.12 μB/f.u.

a b c (Å): 5.254 5.254 3.977
angles (deg): 90.00 90.00 98.92
Atoms (fractional coordinates):
Ni 0.255 0.092 0.250
Ni 0.794 0.206 0.250
Ni 0.092 0.255 0.750
Ni 0.745 0.908 0.750
Ni 0.206 0.794 0.750
Ni 0.908 0.745 0.250
Cl 0.646 0.354 0.750
Cl 0.354 0.646 0.250

# 23
A geometry-optimized Ni3Cl structure, computed with PBE.

Output
Formation energy (no corrections): 715 meV per atom
Space group: Pm-3n
DOS(E_F): 14.9 states/eV per cell
Final energy: -4.082 eV/atom
V: 12.75 A^3/atom
Magnetic moment: 1.80 μB/f.u.

a b c (Å): 4.672 4.672 4.672
angles (deg): 90.00 90.00 90.00
Atoms (fractional coordinates):
Cl 0.000 0.000 0.000
Cl 0.500 0.500 0.500
Ni 0.000 0.250 0.500
Ni 0.500 0.000 0.750
Ni 0.500 0.000 0.250
Ni 0.750 0.500 0.000
Ni 0.250 0.500 0.000
Ni 0.000 0.750 0.500

# 24
A geometry-optimized Ni2Cl structure, computed with PBE.

Output
Formation energy (no corrections): 587 meV per atom
Space group: Pa-3
DOS(E_F): 15.0 states/eV per cell
Final energy: -3.883 eV/atom
V: 13.88 A^3/atom
Magnetic moment: 1.00 μB/f.u.

a b c (Å): 5.502 5.502 5.502
angles (deg): 90.00 90.00 90.00
Atoms (fractional coordinates):
Ni 0.141 0.641 0.141
Ni 0.641 0.641 0.359
Ni 0.359 0.359 0.641
Ni 0.359 0.141 0.141
Ni 0.859 0.141 0.359
Ni 0.859 0.359 0.859
Ni 0.641 0.859 0.859
Ni 0.141 0.859 0.641
Cl 0.500 0.000 0.500
Cl 0.500 0.500 0.000
Cl 0.000 0.000 0.000
Cl 0.000 0.500 0.500

# 25
A geometry-optimized NiCl3 structure, computed with PBE.

Output
Formation energy (no corrections): -193 meV per atom
Space group: Pm-3m
DOS(E_F): 8.0 states/eV per cell
Final energy: -3.023 eV/atom
V: 24.47 A^3/atom
Magnetic moment: 0.86 μB/f.u.

a b c (Å): 4.609 4.609 4.609
angles (deg): 90.00 90.00 90.00
Atoms (fractional coordinates):
Cl 0.500 0.000 0.000
Cl 0.000 0.500 0.000
Cl 0.000 0.000 0.500
Ni 0.000 0.000 0.000

# 26
A geometry-optimized Ni5Cl3 structure, computed with PBE.

Output
Formation energy (no corrections): 484 meV per atom
Space group: Cmmm
DOS(E_F): 8.4 states/eV per cell
Final energy: -3.822 eV/atom
V: 13.84 A^3/atom
Magnetic moment: 3.22 μB/f.u.

a b c (Å): 5.314 5.314 4.158
angles (deg): 90.00 90.00 109.44
Atoms (fractional coordinates):
Cl 0.500 0.500 0.000
Cl 0.231 0.769 0.500
Cl 0.769 0.231 0.500
Ni 0.500 0.000 0.000
Ni 0.000 0.000 0.000
Ni 0.200 0.200 0.500
Ni 0.000 0.500 0.000
Ni 0.800 0.800 0.500

# 27
A geometry-optimized Ni3Cl structure, computed with PBE.

Output
Formation energy (no corrections): 622 meV per atom
Space group: I4/mmm
DOS(E_F): 7.7 states/eV per cell
Final energy: -4.175 eV/atom
V: 12.53 A^3/atom
Magnetic moment: 1.99 μB/f.u.

a b c (Å): 4.509 4.509 4.509
angles (deg): 131.67 131.67 70.76
Atoms (fractional coordinates):
Ni 0.750 0.250 0.500
Ni 0.500 0.500 0.000
Ni 0.250 0.750 0.500
Cl 0.000 0.000 0.000